[1]
Computed, not measured: crystalline HoPuThSn at its relaxed geometry at the PBE-GGA level of DFT.

Calculated values
The value obtained for the total energy is -30.67 eV for the cell shown. The energy of formation from the pure elements comes out at -0.08 eV per atom. As for the calculated density: 11.5 g/cm3.

Cell lengths 5.3722, 5.3722, 5.3722 Å; angles 60.00, 60.00, 60.00 degrees
Closest atoms and distances in Å follow each position.
Sites, in units of the cell vectors:
Sn 0.2500 0.2500 0.2500  4 Ho 3.29, 4 Pu 3.29
Ho 0.5000 0.5000 0.5000  4 Sn 3.29, 4 Th 3.29
Th 0.7500 0.7500 0.7500  4 Ho 3.29, 4 Pu 3.29
Pu 0.0000 0.0000 0.0000  4 Sn 3.29, 4 Th 3.29

---

[2]
Computed, not measured: crystalline Rb3AgH4 at its relaxed geometry at the PBE-GGA level of DFT.

Calculated values
The value obtained for the total energy is -19.82 eV for the cell shown. As for the calculated density: 3.4 g/cm3.

Cell lengths 6.2477, 6.2962, 6.2962 Å; angles 62.35, 60.25, 60.25 degrees
Closest atoms and distances in Å follow each position.
Sites, in units of the cell vectors:
Rb 0.7601 0.6797 0.8002  3 H 2.76-3.05
Rb 0.0000 0.9696 0.0304  4 H 2.63-2.90
Rb 0.2399 0.1998 0.3203  3 H 2.76-3.05
Ag 0.5000 0.4815 0.5185  4 H 1.81-1.85
H 0.3183 0.5314 0.8320  1 Ag 1.81
H 0.6817 0.1680 0.4686  1 Ag 1.81
H 0.2693 0.6595 0.3405  1 Ag 1.85
H 0.7307 0.6595 0.3405  1 Ag 1.85

---

> Among the records above, which one has the highest calculated density?

HoPuThSn

---

> What is the calculated density in the first record?

11.5 g/cm3